Record 1
A plane-wave DFT calculation with PBE was carried out for a geometry-optimized Gd2RuS structure.

As for the uncorrected formation energy: -1007 meV per atom.

abc: 3.4222 3.4222 7.1302
angles: 90.00 90.00 90.00
With the nearest neighbours (Å) after each atom.
Space group P4/mmm (No. 123)
Unique sites:
Gd (0.0000, 0.0000, 0.2427) [2 per cell]  4 Ru 2.98, 4 S 3.04
Ru (0.5000, 0.5000, 0.0000) [1 per cell]  8 Gd 2.98
S (0.5000, 0.5000, 0.5000) [1 per cell]  8 Gd 3.04

=====

Record 2
A plane-wave DFT calculation with PBE was carried out for a geometry-optimized NbGa2Mo structure.

The calculation puts the formation energy at 1.118 eV per formula unit. For the excess energy over the best structure of this formula in the dataset, the calculation gives 0.346 eV per atom.

abc: 2.8501 2.8501 29.8426
angles: 90.00 90.00 120.00
With the nearest neighbours (Å) after each atom.
Space group R-3m (No. 166, hexagonal axes)
Unique sites:
Nb (0.0000, 0.0000, 0.0000) [3 per cell]  6 Nb 2.85, 6 Ga 2.86
Ga (0.0000, 0.0000, 0.4116) [6 per cell]  1 Mo 2.64, 6 Ga 2.85, 3 Nb 2.86
Mo (0.0000, 0.0000, 0.5000) [3 per cell]  2 Ga 2.64, 6 Mo 2.85

=====

Record 3
A plane-wave DFT calculation with PBE was carried out for a geometry-optimized Cs2SnSbH structure.

The total energy is -2.979 eV/atom.

abc: 7.5024 4.5903 11.7909
angles: 90.00 101.71 90.00
With the nearest neighbours (Å) after each atom.
Space group P2_1/m (No. 11)
Unique sites:
Cs (0.2064, 0.2500, 0.4109) [2 per cell]  1 H 3.24
Cs (0.2892, 0.7500, 0.0654) [2 per cell]  2 H 2.97
Sn (0.3245, 0.7500, 0.6899) [2 per cell]  1 H 1.86
Sb (0.1654, 0.2500, 0.7923) [2 per cell]  2 Sn 2.96
H (0.4475, 0.2500, 0.2124) [2 per cell]  1 Sn 1.86

=====

Record 4
A plane-wave DFT calculation with PBE was carried out for a geometry-optimized LaAsS2N structure.

As for the uncorrected formation energy: 591 meV per atom. For the excess energy over the best structure of this formula in the dataset, the calculation gives 1.018 eV per atom.

abc: 5.5926 5.5926 4.1231
angles: 90.00 90.00 90.00
With the nearest neighbours (Å) after each atom.
Space group P4/mmm (No. 123)
Unique sites:
La (0.0000, 0.0000, 0.0000) [1 per cell]  2 N 2.06
As (0.5000, 0.5000, 0.5000) [1 per cell]  8 S 3.47
S (0.0000, 0.5000, 0.0000) [2 per cell]  2 La 2.80
N (0.0000, 0.0000, 0.5000) [1 per cell]  2 La 2.06

=====

Record 5
A plane-wave DFT calculation with PBE was carried out for a geometry-optimized HgGeBi structure.

The calculation puts the formation energy at 0.425 eV per formula unit. For the excess energy over the best structure of this formula in the dataset, the calculation gives 0.018 eV per atom.

abc: 4.3447 6.0220 7.5930
angles: 94.99 106.28 110.39
With the nearest neighbours (Å) after each atom.
Space group P-1 (No. 2)
Unique sites:
Hg (0.2142, 0.2386, 0.1533) [2 per cell]  2 Bi 3.10-3.38, 1 Hg 3.13, 2 Ge 3.38-3.41
Ge (0.0952, 0.7222, 0.4843) [2 per cell]  1 Ge 2.57, 2 Bi 2.85-2.86
Bi (0.4837, 0.1998, 0.7503) [2 per cell]  3 Ge 2.85-2.98, 1 Hg 3.10

=====

Record 6
A plane-wave DFT calculation with PBE was carried out for a geometry-optimized GaAg2 structure.

The calculation puts the formation energy at 0.038 eV per formula unit.

abc: 3.0897 3.0897 11.0173
angles: 90.00 90.00 90.00
With the nearest neighbours (Å) after each atom.
Space group I4/mmm (No. 139)
Unique sites:
Ga (0.0000, 0.0000, 0.0000) [2 per cell]  8 Ag 2.81, 4 Ga 3.09
Ag (0.0000, 0.0000, 0.3393) [4 per cell]  4 Ga 2.81, 8 Ag 2.94-3.09

=====

Record 7
A plane-wave DFT calculation with PBE was carried out for a geometry-optimized HfNpU2As4 structure.

The calculation puts the formation energy at -6.362 eV per formula unit.

abc: 6.9404 3.9964 7.0199
angles: 90.00 109.06 90.00
With the nearest neighbours (Å) after each atom.
Space group P2/m (No. 10)
Unique sites:
Hf (0.0000, 0.0000, 0.0000) [1 per cell]  6 As 2.76-2.78
Np (0.5000, 0.5000, 0.0000) [1 per cell]  6 As 2.84-2.85
U (0.0000, 0.5000, 0.5000) [1 per cell]  6 As 2.84-2.85
U (0.5000, 0.0000, 0.5000) [1 per cell]  6 As 2.92-2.93
As (0.2375, 0.5000, 0.2379) [2 per cell]  2 Hf 2.78, 3 U 2.84-2.92, 1 Np 2.84
As (0.2426, 0.0000, 0.7573) [2 per cell]  1 Hf 2.76, 2 Np 2.85, 3 U 2.85-2.93

=====

Record 8
A plane-wave DFT calculation with PBE was carried out for a geometry-optimized Tb2Pr3UN6 structure.

As for the uncorrected formation energy: -1492 meV per atom.

abc: 6.1469 10.6280 6.2337
angles: 90.00 109.16 90.00
With the nearest neighbours (Å) after each atom.
Space group C2/m (No. 12)
Unique sites:
Tb (0.0000, 0.1662, 0.0000) [4 per cell]  6 N 2.49
Pr (0.0000, 0.0000, 0.5000) [2 per cell]  6 N 2.58-2.74
Pr (0.0000, 0.3318, 0.5000) [4 per cell]  6 N 2.58-2.75
U (0.0000, 0.5000, 0.0000) [2 per cell]  6 N 2.29-2.31
N (0.2268, 0.3459, 0.2182) [8 per cell]  1 U 2.29, 2 Tb 2.49
N (0.2357, 0.5000, 0.7787) [4 per cell]  1 U 2.31, 2 Tb 2.49, 2 Pr 2.58

=====

Record 9
A plane-wave DFT calculation with PBE was carried out for a geometry-optimized CdGe2Pd4 structure.

The calculation puts the formation energy at -2.285 eV per formula unit.

abc: 2.9485 15.4711 10.5196
angles: 90.00 90.00 90.00
With the nearest neighbours (Å) after each atom.
Space group Cmcm (No. 63)
Unique sites:
Cd (0.0000, 0.1032, 0.2500) [4 per cell]  8 Pd 2.88-3.08, 2 Cd 2.95
Ge (0.0000, 0.3686, 0.0427) [8 per cell]  6 Pd 2.47-2.55
Pd (0.0000, 0.0000, 0.0000) [4 per cell]  4 Ge 2.55
Pd (0.0000, 0.2536, 0.6228) [8 per cell]  3 Ge 2.49-2.54, 1 Pd 2.68
Pd (0.0000, 0.4431, 0.2500) [4 per cell]  2 Ge 2.47

=====

Record 10
A plane-wave DFT calculation with PBE was carried out for a geometry-optimized HgSb12Ru4 structure.

As for the uncorrected formation energy: -115 meV per atom.

abc: 9.4144 9.4144 9.4144
angles: 90.00 90.00 90.00
With the nearest neighbours (Å) after each atom.
Space group Im-3 (No. 204)
Unique sites:
Hg (0.0000, 0.0000, 0.0000) [2 per cell]  12 Sb 3.52
Sb (0.0000, 0.3388, 0.1572) [24 per cell]  2 Ru 2.65, 1 Sb 2.96
Ru (0.2500, 0.2500, 0.2500) [8 per cell]  6 Sb 2.65

=====

Record 11
A plane-wave DFT calculation with PBE was carried out for a geometry-optimized Li4MgIn7 structure.

The calculation puts the formation energy at -0.911 eV per formula unit.

abc: 13.6787 5.2063 10.3082
angles: 90.00 129.77 90.00
With the nearest neighbours (Å) after each atom.
Space group C2/m (No. 12)
Unique sites:
Li (0.0791, 0.0000, 0.3003) [4 per cell]  7 In 2.85-3.09, 1 Li 2.88
Li (0.1850, 0.0000, 0.8503) [4 per cell]  6 In 2.74-3.07, 1 Li 2.88
Mg (0.0000, 0.5000, 0.5000) [2 per cell]  2 In 2.60
In (0.0000, 0.0000, 0.5000) [2 per cell]  2 Mg 2.60, 4 Li 2.78-2.87
In (0.0679, 0.5000, 0.8543) [4 per cell]  5 Li 2.74-3.07, 1 In 3.01
In (0.1585, 0.0000, 0.1033) [4 per cell]  2 Li 2.85
In (0.2133, 0.5000, 0.3297) [4 per cell]  4 Li 2.95-3.09, 4 In 3.01-3.25

=====

Record 12
A plane-wave DFT calculation with PBE was carried out for a geometry-optimized TmHfHgPt structure.

The calculation puts the formation energy at -2.352 eV per formula unit.

abc: 6.9537 6.9537 6.9537
angles: 90.00 90.00 90.00
With the nearest neighbours (Å) after each atom.
Space group F-43m (No. 216)
Unique sites:
Tm (0.0000, 0.0000, 0.0000) [4 per cell]  4 Hg 3.01, 4 Pt 3.01
Hf (0.0000, 0.0000, 0.5000) [4 per cell]  4 Hg 3.01, 4 Pt 3.01
Hg (0.2500, 0.2500, 0.2500) [4 per cell]  4 Hf 3.01, 4 Tm 3.01
Pt (0.2500, 0.2500, 0.7500) [4 per cell]  4 Hf 3.01, 4 Tm 3.01

=====

Which M_tot belongs to each record? In order, 14.1, 0.0, 0.0, 0.4, 0.0, 0.0, 8.8, 0.0, 0.0, 0.0, 0.0, 0.0 Bohr magnetons per cell.